# LaCd3As3

LaCd3As3 after structural relaxation (PBE-GGA, Alexandria).

```
14
Lattice="2.240 -3.890 0.000 2.240 3.890 0.000 0.000 0.000 21.607" Properties=species:S:1:pos:R:3 pbc="T T T"
La 0.048 0.000 0.000
La 0.048 0.000 10.804
Cd 2.306 -1.301 13.534
Cd 2.306 1.301 8.073
Cd 2.306 1.301 2.730
Cd 2.306 -1.301 18.877
Cd 1.885 -1.460 5.402
Cd 1.885 1.460 16.205
As 2.294 -1.295 1.679
As 2.294 1.295 19.928
As 2.294 1.295 12.483
As 2.294 -1.295 9.124
As 1.863 1.118 5.402
As 1.863 -1.118 16.205
```

Values from the calculation:
mass density = 6.18 g cm⁻³
symmetry = No. 40
calculated formation energy = -0.5452 eV per atom
energy above the most stable polymorph in this dataset = 0.0000 eV per atom
V = 377 Å³/cell